1.
NaSnP2O8: relaxed, PBE-GGA.

E_form (uncorrected) = -1881 meV/atom
Uncorrected energy = -78.4 eV/cell

Cell lengths 5.035, 5.035, 7.389 Å; angles 90.00, 90.00, 120.00 degrees
Each line ends with the local moment (μB).
Sites, in units of the cell vectors:
O: 0.721 0.072 0.328  0.05
O: 0.667 0.333 0.053  0.30
Na: 0.000 0.000 0.000  0.00
O: 0.072 0.351 0.672  0.05
P: 0.667 0.333 0.262  -0.01
O: 0.333 0.667 0.947  0.30
O: 0.928 0.649 0.328  0.05
O: 0.351 0.279 0.328  0.05
O: 0.649 0.721 0.672  0.05
P: 0.333 0.667 0.738  -0.01
O: 0.279 0.928 0.672  0.05
Sn: 0.000 0.000 0.500  0.00

2.
Na2SrP2O7: relaxed, PBE-GGA.

E_form (uncorrected) = -2427 meV/atom
Uncorrected energy = -79.0 eV/cell

Cell lengths 5.574, 5.574, 7.900 Å; angles 69.34, 69.34, 60.00 degrees
Sites, in units of the cell vectors:
Na: 0.730 0.730 0.811
O: 0.120 0.815 0.720
O: 0.815 0.344 0.720
P: 0.075 0.075 0.776
Na: 0.270 0.270 0.189
O: 0.185 0.880 0.280
O: 0.880 0.656 0.280
Sr: 0.500 0.500 0.500
O: 0.344 0.120 0.720
O: 0.000 0.000 0.000
O: 0.656 0.185 0.280
P: 0.925 0.925 0.224